This record from Alexandria describes Cd12Hg5As3 after structural relaxation. The functional is PBE.

The space group is Ia-3d (No. 230) and the conventional cell measures 16.7176, 16.7176 and 16.7176 Å, with angles of 90.00, 90.00 and 90.00 degrees. The inequivalent atoms are Cd at (0.0170, 0.0844, 0.6495), Hg at (0.0000, 0.0000, 0.0000), Hg at (0.0000, 0.2500, 0.3750) and As at (0.0000, 0.2500, 0.1250).

Its formation energy is 0.143 eV/atom. As for the calculated volume: 4672.2 Å³ per cell. As for the crystal system: cubic. The mass density comes out at 7.3 g cm⁻³.

This record from Alexandria describes Cu2AgAu2 after structural relaxation. The functional is PBE.

The space group is I4/mmm (No. 139) and the conventional cell measures 3.8740, 3.8740 and 11.7140 Å, with angles of 90.00, 90.00 and 90.00 degrees. The inequivalent atoms are Cu at (0.0000, 0.0000, 0.0985), Ag at (0.0000, 0.0000, 0.5000) and Au at (0.0000, 0.5000, 0.2500).

Its formation energy is 0.202 eV/atom. As for the calculated volume: 175.8 Å³ per cell. The value obtained for the energy relative to the lowest polymorph listed for this composition is 0.183 eV/atom. As for the crystal system: tetragonal. The mass density comes out at 11.9 g cm⁻³.

This record from Alexandria describes Tm6Zn5Tc after structural relaxation. The functional is PBE.

The space group is Cmmm (No. 65) and the conventional cell measures 4.9285, 14.7629 and 7.0471 Å, with angles of 90.00, 90.00 and 90.00 degrees. The inequivalent atoms are Tm at (0.0000, 0.0000, 0.2389), Tm at (0.0000, 0.3385, 0.2437), Zn at (0.0000, 0.1670, 0.5000), Zn at (0.0000, 0.1688, 0.0000), Zn at (0.0000, 0.5000, 0.5000) and Tc at (0.0000, 0.5000, 0.0000).

Its formation energy is -0.338 eV/atom. As for the calculated volume: 512.7 Å³ per cell. As for the crystal system: orthorhombic. The mass density comes out at 9.3 g cm⁻³.

This record from Alexandria describes TaHSe after structural relaxation. The functional is PBE.

The space group is P-3m1 (No. 164) and the conventional cell measures 3.3035, 3.3035 and 9.7342 Å, with angles of 90.00, 90.00 and 120.00 degrees. The inequivalent atoms are Ta at (0.3333, 0.6667, 0.3663), H at (0.0000, 0.0000, 0.4037) and Se at (0.3333, 0.6667, 0.8150).

As for the calculated volume: 92.0 Å³ per cell. Its total energy is -40.6 eV/cell. As for the crystal system: trigonal. The mass density comes out at 9.4 g cm⁻³.

This record from Alexandria describes TiSbRhO6 after structural relaxation. The functional is PBE.

The space group is P-31c (No. 163) and the conventional cell measures 5.1639, 5.1639 and 8.6748 Å, with angles of 90.00, 90.00 and 120.00 degrees. The inequivalent atoms are Ti at (0.3333, 0.6667, 0.2500), Sb at (0.3333, 0.6667, 0.7500), Rh at (0.0000, 0.0000, 0.0000) and O at (0.0059, 0.3456, 0.1286).

As for the calculated volume: 200.3 Å³ per cell. Its total energy is -127.4 eV/cell. As for the crystal system: trigonal. The mass density comes out at 6.1 g cm⁻³.

This record from Alexandria describes YHo8Th6 after structural relaxation. The functional is PBE.

The space group is R-3 (No. 148, hexagonal axes) and the conventional cell measures 8.8306, 8.8306 and 21.2972 Å, with angles of 90.00, 90.00 and 120.00 degrees. The inequivalent atoms are Y at (0.0000, 0.0000, 0.0000), Ho at (0.0000, 0.0000, 0.4200), Ho at (0.0633, 0.8090, 0.1336) and Th at (0.0253, 0.2424, 0.7097).

Its formation energy is 0.156 eV/atom. As for the calculated volume: 1438.2 Å³ per cell. As for the crystal system: trigonal. The mass density comes out at 9.7 g cm⁻³.

This record from Alexandria describes Ba3Sb2Pd6Pb after structural relaxation. The functional is PBE.

The space group is P-3m1 (No. 164) and the conventional cell measures 6.2388, 6.2388 and 9.4552 Å, with angles of 90.00, 90.00 and 120.00 degrees. The inequivalent atoms are Ba at (0.0000, 0.0000, 0.0000), Ba at (0.3333, 0.6667, 0.6462), Sb at (0.3333, 0.6667, 0.0672), Pd at (0.1777, 0.3553, 0.2893) and Pb at (0.0000, 0.0000, 0.5000).

As for the calculated volume: 318.7 Å³ per cell. Its total energy is -55.3 eV/cell. As for the crystal system: trigonal. The mass density comes out at 7.8 g cm⁻³.

This record from Alexandria describes Tl3Bi4Pb2 after structural relaxation. The functional is PBE.

The space group is P-1 (No. 2) and the conventional cell measures 5.4768, 6.9288 and 8.6749 Å, with angles of 101.95, 90.26 and 113.04 degrees. The inequivalent atoms are Tl at (0.0000, 0.0000, 0.0000), Tl at (0.4639, 0.9259, 0.6863), Bi at (0.1226, 0.2424, 0.6423), Bi at (0.3099, 0.6217, 0.9658) and Pb at (0.2297, 0.4604, 0.3245).

Its formation energy is 0.005 eV/atom. As for the calculated volume: 295.0 Å³ per cell. The value obtained for the energy relative to the lowest polymorph listed for this composition is 0.038 eV/atom. As for the crystal system: triclinic. The mass density comes out at 10.5 g cm⁻³.

This record from Alexandria describes Na2TlO after structural relaxation. The functional is PBE.

The space group is Fm-3m (No. 225) and the conventional cell measures 6.8731, 6.8731 and 6.8731 Å, with angles of 90.00, 90.00 and 90.00 degrees. The inequivalent atoms are Na at (0.2500, 0.2500, 0.2500), Tl at (0.0000, 0.0000, 0.0000) and O at (0.0000, 0.0000, 0.5000).

As for the calculated volume: 324.7 Å³ per cell. The value obtained for the energy relative to the lowest polymorph listed for this composition is 0.558 eV/atom. As for the crystal system: cubic. The mass density comes out at 5.4 g cm⁻³.

This record from Alexandria describes LiGdSiHg after structural relaxation. The functional is PBE.

The space group is F-43m (No. 216) and the conventional cell measures 6.9896, 6.9896 and 6.9896 Å, with angles of 90.00, 90.00 and 90.00 degrees. The inequivalent atoms are Li at (0.0000, 0.0000, 0.0000), Gd at (0.0000, 0.0000, 0.5000), Si at (0.2500, 0.2500, 0.7500) and Hg at (0.2500, 0.2500, 0.2500).

As for the calculated volume: 341.5 Å³ per cell. Its total energy is -93.2 eV/cell. As for the crystal system: cubic. The mass density comes out at 7.6 g cm⁻³.

This record from Alexandria describes La2CuSiPd6 after structural relaxation. The functional is PBE.

The space group is C2/m (No. 12) and the conventional cell measures 10.0089, 5.7672 and 7.8636 Å, with angles of 90.00, 115.22 and 90.00 degrees. The inequivalent atoms are La at (0.2174, 0.0000, 0.1548), Cu at (0.0000, 0.5000, 0.0000), Si at (0.0000, 0.0000, 0.5000), Pd at (0.0111, 0.2577, 0.2789) and Pd at (0.2462, 0.0000, 0.7182).

As for the calculated volume: 410.7 Å³ per cell. Its total energy is -113.6 eV/cell. As for the crystal system: monoclinic. The mass density comes out at 8.2 g cm⁻³.

This record from Alexandria describes CaMn2Ru after structural relaxation. The functional is PBE.

The space group is P4/mmm (No. 123) and the conventional cell measures 3.1910, 3.1910 and 7.2734 Å, with angles of 90.00, 90.00 and 90.00 degrees. The inequivalent atoms are Ca at (0.0000, 0.0000, 0.0000), Mn at (0.5000, 0.5000, 0.3156) and Ru at (0.0000, 0.0000, 0.5000).

Its formation energy is 0.352 eV/atom. As for the calculated volume: 74.1 Å³ per cell. The value obtained for the energy relative to the lowest polymorph listed for this composition is 0.033 eV/atom. As for the crystal system: tetragonal. The mass density comes out at 5.6 g cm⁻³.